Entry 1:
Crystalline Zn3SiPt at its relaxed geometry, computed with PBE.

Lattice parameters (Å, degrees): 4.788 4.788 4.788 90.00 90.00 90.00
Space group Pm-3m (No. 221)
Unique sites:
Zn 0.000 0.000 0.500
Si 0.500 0.500 0.500
Pt 0.000 0.000 0.000

Output
formation energy (no corrections)	384	meV per atom
DOS(E_F)	2.5	states/eV/f.u.
E_tot	-2.67	eV per atom

Entry 2:
Crystalline CuRe2Mo at its relaxed geometry, computed with PBE.

Lattice parameters (Å, degrees): 2.751 2.751 7.730 90.00 90.00 90.00
Space group P4/mmm (No. 123)
Unique sites:
Cu 0.000 0.000 0.000
Re 0.500 0.500 0.241
Mo 0.000 0.000 0.500

Output
DOS(E_F)	5.6	states/eV/f.u.
E_tot	-9.60	eV per atom

Entry 3:
Crystalline BaAc5La2 at its relaxed geometry, computed with PBE.

Lattice parameters (Å, degrees): 3.863 7.863 23.648 90.00 90.00 90.00
Space group Immm (No. 71)
Unique sites:
Ba 0.000 0.000 0.000
Ac 0.000 0.236 0.373
Ac 0.000 0.500 0.000
La 0.000 0.500 0.244

Output
DOS(E_F)	14.5	states/eV/f.u.
E_tot	-3.91	eV per atom

Entry 4:
Crystalline MgZrHg2 at its relaxed geometry, computed with PBE.

Lattice parameters (Å, degrees): 4.700 4.700 3.889 90.00 90.00 90.00
Space group P4/mmm (No. 123)
Unique sites:
Mg 0.000 0.000 0.000
Zr 0.500 0.500 0.000
Hg 0.000 0.500 0.500

Output
DOS(E_F)	2.1	states/eV/f.u.
E_tot	-2.88	eV per atom

Entry 5:
Crystalline Mg2FeCu at its relaxed geometry, computed with PBE.

Lattice parameters (Å, degrees): 2.861 2.861 7.524 90.00 90.00 90.00
Space group P4/mmm (No. 123)
Unique sites:
Mg 0.000 0.000 0.246
Fe 0.500 0.500 0.500
Cu 0.500 0.500 0.000

Output
DOS(E_F)	2.8	states/eV/f.u.
E_tot	-3.83	eV per atom

Entry 6:
Crystalline Zr3Tl5 at its relaxed geometry, computed with PBE.

Lattice parameters (Å, degrees): 5.962 16.299 8.630 90.00 109.37 90.00
Space group C2/m (No. 12)
Unique sites:
Zr 0.000 0.186 0.000
Zr 0.000 0.251 0.500
Zr 0.188 0.500 0.372
Tl 0.103 0.335 0.200
Tl 0.167 0.100 0.330
Tl 0.249 0.500 0.999

Output
DOS(E_F)	5.2	states/eV/f.u.
E_tot	-4.55	eV per atom

Entry 7:
Crystalline InSb2Se at its relaxed geometry, computed with PBE.

Lattice parameters (Å, degrees): 14.639 4.265 7.931 90.00 106.54 90.00
Space group Cm (No. 8)
Unique sites:
In 0.000 0.000 0.000
In 0.247 0.500 0.254
Sb 0.008 0.500 0.497
Sb 0.145 0.500 0.853
Sb 0.259 0.000 0.756
Sb 0.398 0.500 0.595
Se 0.138 0.000 0.324
Se 0.387 0.000 0.076

Output
formation energy (no corrections)	-176	meV per atom
DOS(E_F)	0.9	states/eV/f.u.
E_tot	-3.79	eV per atom

Entry 8:
Crystalline Cd2SiAg at its relaxed geometry, computed with PBE.

Lattice parameters (Å, degrees): 4.221 4.221 8.768 90.00 90.00 90.00
Space group I-4m2 (No. 119)
Unique sites:
Cd 0.000 0.000 0.000
Cd 0.000 0.500 0.250
Si 0.000 0.500 0.750
Ag 0.000 0.000 0.500

Output
formation energy (no corrections)	236	meV per atom
DOS(E_F)	1.1	states/eV/f.u.
E_tot	-2.29	eV per atom

Entry 9:
Crystalline BaLa5S6 at its relaxed geometry, computed with PBE.

Lattice parameters (Å, degrees): 7.298 12.633 7.303 90.00 109.49 90.00
Space group C2/m (No. 12)
Unique sites:
Ba 0.000 0.000 0.000
La 0.000 0.163 0.500
La 0.000 0.333 0.000
La 0.000 0.500 0.500
S 0.240 0.500 0.254
S 0.241 0.327 0.741

Output
formation energy (no corrections)	-2118	meV per atom
DOS(E_F)	7.1	states/eV/f.u.
E_tot	-6.40	eV per atom

Entry 10:
Crystalline Ni2HgSCl at its relaxed geometry, computed with PBE.

Lattice parameters (Å, degrees): 4.082 4.082 7.233 90.00 90.00 90.00
Space group P4/mmm (No. 123)
Unique sites:
Ni 0.000 0.500 0.000
Hg 0.000 0.000 0.500
S 0.500 0.500 0.000
Cl 0.500 0.500 0.500

Output
formation energy (no corrections)	156	meV per atom
DOS(E_F)	6.1	states/eV/f.u.
E_tot	-3.41	eV per atom

Entry 11:
Crystalline Sr2TaTc at its relaxed geometry, computed with PBE.

Lattice parameters (Å, degrees): 2.981 2.981 10.810 90.00 90.00 90.00
Space group P4/mmm (No. 123)
Unique sites:
Sr 0.000 0.000 0.235
Ta 0.500 0.500 0.500
Tc 0.500 0.500 0.000

Output
DOS(E_F)	4.3	states/eV/f.u.
E_tot	-5.23	eV per atom

Entry 12:
Crystalline LiYAg2I6 at its relaxed geometry, computed with PBE.

Lattice parameters (Å, degrees): 7.7097 7.7097 21.3228 90.00 90.00 120.00
Space group R3 (No. 146, hexagonal axes)
Unique sites:
Li 0.0000 0.0000 0.0000
Y 0.0000 0.0000 0.5000
Ag 0.0000 0.0000 0.2443
Ag 0.0000 0.0000 0.7567
I 0.0009 0.6395 0.7497
I 0.0280 0.3340 0.5837

Output
formation energy (no corrections)	-851	meV per atom
DOS(E_F)	0.0	states/eV/f.u.
E_tot	-3.19	eV per atom

Entry 13:
Crystalline HgRhW2 at its relaxed geometry, computed with PBE.

Lattice parameters (Å, degrees): 3.864 3.864 8.804 90.00 90.00 90.00
Space group I4/mmm (No. 139)
Unique sites:
Hg 0.000 0.000 0.000
Rh 0.000 0.000 0.500
W 0.000 0.500 0.250

Output
DOS(E_F)	4.3	states/eV/f.u.
E_tot	-7.93	eV per atom

Entry 14:
Crystalline HfTiPd4 at its relaxed geometry, computed with PBE.

Lattice parameters (Å, degrees): 9.367 3.386 6.624 90.00 110.70 90.00
Space group C2/m (No. 12)
Unique sites:
Hf 0.000 0.000 0.000
Ti 0.000 0.000 0.500
Pd 0.155 0.500 0.339
Pd 0.162 0.500 0.821

Output
DOS(E_F)	4.2	states/eV/f.u.
E_tot	-7.15	eV per atom

Entry 15:
Crystalline BeHg at its relaxed geometry, computed with PBE.

Lattice parameters (Å, degrees): 3.9465 3.9465 10.0190 90.00 90.00 120.00
Space group P6_3/mmc (No. 194)
Unique sites:
Be 0.0000 0.0000 0.2500
Be 0.3333 0.6667 0.2500
Hg 0.3333 0.6667 0.5994

Output
DOS(E_F)	0.5	states/eV/f.u.
E_tot	-1.50	eV per atom

Entry 16:
Crystalline BaScMo at its relaxed geometry, computed with PBE.

Lattice parameters (Å, degrees): 7.038 7.038 7.038 90.00 90.00 90.00
Space group F-43m (No. 216)
Unique sites:
Ba 0.000 0.000 0.000
Sc 0.000 0.000 0.500
Mo 0.250 0.250 0.250

Output
DOS(E_F)	6.8	states/eV/f.u.
E_tot	-5.18	eV per atom

Entry 17:
Crystalline K3TcCl6 at its relaxed geometry, computed with PBE.

Lattice parameters (Å, degrees): 7.300 7.642 12.658 90.00 123.48 90.00
Space group P2_1/c (No. 14)
Unique sites:
K 0.000 0.000 0.000
K 0.283 0.077 0.757
Tc 0.500 0.000 0.500
Cl 0.180 0.026 0.285
Cl 0.287 0.670 0.057
Cl 0.397 0.231 0.056

Output
formation energy (no corrections)	-1418	meV per atom
DOS(E_F)	6.5	states/eV/f.u.
E_tot	-3.89	eV per atom

Entry 18:
Crystalline ZnCd2Ag2 at its relaxed geometry, computed with PBE.

Lattice parameters (Å, degrees): 7.581 7.581 3.505 90.00 90.00 90.00
Space group P4/mbm (No. 127)
Unique sites:
Zn 0.000 0.000 0.000
Cd 0.153 0.347 0.000
Ag 0.145 0.645 0.500

Output
DOS(E_F)	1.3	states/eV/f.u.
E_tot	-1.65	eV per atom

Entry 19:
Crystalline Tm2PdPb at its relaxed geometry, computed with PBE.

Lattice parameters (Å, degrees): 3.8249 3.8249 25.2436 90.00 90.00 120.00
Space group R-3m (No. 166, hexagonal axes)
Unique sites:
Tm 0.0000 0.0000 0.2343
Pd 0.0000 0.0000 0.5000
Pb 0.0000 0.0000 0.0000

Output
DOS(E_F)	3.4	states/eV/f.u.
E_tot	-5.00	eV per atom

Entry 20:
Crystalline Ca2TlCr at its relaxed geometry, computed with PBE.

Lattice parameters (Å, degrees): 7.633 7.633 7.633 90.00 90.00 90.00
Space group Fm-3m (No. 225)
Unique sites:
Ca 0.250 0.250 0.250
Tl 0.000 0.000 0.000
Cr 0.000 0.000 0.500

Output
DOS(E_F)	1.9	states/eV/f.u.
E_tot	-3.91	eV per atom

Entry 21:
Crystalline Cs2PuThSe4 at its relaxed geometry, computed with PBE.

Lattice parameters (Å, degrees): 7.551 4.380 8.784 90.00 106.76 90.00
Space group P2/m (No. 10)
Unique sites:
Cs 0.000 0.000 0.000
Cs 0.500 0.500 0.000
Pu 0.000 0.500 0.500
Th 0.500 0.000 0.500
Se 0.235 0.000 0.688
Se 0.275 0.500 0.310

Output
formation energy (no corrections)	-1523	meV per atom
DOS(E_F)	14.5	states/eV/f.u.
E_tot	-6.20	eV per atom

Entry 22:
Crystalline Nb2ReH at its relaxed geometry, computed with PBE.

Lattice parameters (Å, degrees): 6.216 6.216 6.216 90.00 90.00 90.00
Space group Fm-3m (No. 225)
Unique sites:
Nb 0.250 0.250 0.250
Re 0.000 0.000 0.000
H 0.000 0.000 0.500

Output
DOS(E_F)	2.8	states/eV/f.u.
E_tot	-8.50	eV per atom

Entry 23:
Crystalline LaTl2MoBr at its relaxed geometry, computed with PBE.

Lattice parameters (Å, degrees): 6.332 6.332 5.660 90.00 90.00 90.00
Space group P4/mmm (No. 123)
Unique sites:
La 0.000 0.000 0.000
Tl 0.000 0.500 0.000
Mo 0.500 0.500 0.500
Br 0.000 0.000 0.500

Output
formation energy (no corrections)	912	meV per atom
DOS(E_F)	6.4	states/eV/f.u.
E_tot	-3.52	eV per atom

Entry 24:
Crystalline Ca2BeGe at its relaxed geometry, computed with PBE.

Lattice parameters (Å, degrees): 7.131 7.131 7.131 90.00 90.00 90.00
Space group Fm-3m (No. 225)
Unique sites:
Ca 0.250 0.250 0.250
Be 0.000 0.000 0.000
Ge 0.000 0.000 0.500

Output
DOS(E_F)	1.0	states/eV/f.u.
E_tot	-3.20	eV per atom